First-principles (PBE) data for Tl6Zn7 after structural relaxation, as listed in the Alexandria database.

Its crystal system is trigonal. The formation energy comes out at 123 meV/atom. As for the space group: R-3m (166).

```
data_Tl6Zn7
_symmetry_space_group_name_H-M 'P 1'
_symmetry_Int_Tables_number 1
_symmetry_space_group_name_Hall 'P 1'
_cell_length_a 11.0201
_cell_length_b 11.0201
_cell_length_c 11.0201
_cell_angle_alpha 29.93
_cell_angle_beta 29.93
_cell_angle_gamma 29.93
loop_
_atom_site_label
_atom_site_type_symbol
_atom_site_fract_x
_atom_site_fract_y
_atom_site_fract_z
_atom_site_occupancy
Tl1 Tl 0.0503 0.0503 0.0503 1
Tl2 Tl 0.1535 0.1535 0.1535 1
Tl3 Tl 0.3334 0.3334 0.3334 1
Tl4 Tl 0.6666 0.6666 0.6666 1
Tl5 Tl 0.8465 0.8465 0.8465 1
Tl6 Tl 0.9497 0.9497 0.9497 1
Zn1 Zn 0.0950 0.5943 0.5943 1
Zn2 Zn 0.4057 0.4057 0.9050 1
Zn3 Zn 0.4057 0.9050 0.4057 1
Zn4 Zn 0.5000 0.5000 0.5000 1
Zn5 Zn 0.5943 0.0950 0.5943 1
Zn6 Zn 0.5943 0.5943 0.0950 1
Zn7 Zn 0.9050 0.4057 0.4057 1
```

---

First-principles (PBE) data for K2NaSbPt after structural relaxation, as listed in the Alexandria database.

Its crystal system is tetragonal. As for the space group: P4/mmm (123). The uncorrected formation energy is -17.8 kJ per mole of atoms.

```
data_K2NaSbPt
_symmetry_space_group_name_H-M 'P 1'
_symmetry_Int_Tables_number 1
_symmetry_space_group_name_Hall 'P 1'
_cell_length_a 6.3261
_cell_length_b 6.3261
_cell_length_c 5.0174
_cell_angle_alpha 90.00
_cell_angle_beta 90.00
_cell_angle_gamma 90.00
loop_
_atom_site_label
_atom_site_type_symbol
_atom_site_fract_x
_atom_site_fract_y
_atom_site_fract_z
_atom_site_occupancy
K1 K 0.0000 0.5000 0.0000 1
K2 K 0.5000 0.0000 0.0000 1
Na1 Na 0.0000 0.0000 0.5000 1
Sb1 Sb 0.5000 0.5000 0.5000 1
Pt1 Pt 0.5000 0.5000 0.0000 1
```

---

First-principles (PBE) data for LaIn3Pt after structural relaxation, as listed in the Alexandria database.

Its crystal system is cubic. The formation energy comes out at -292 meV/atom. As for the space group: Pm-3m (221).

```
data_LaIn3Pt
_symmetry_space_group_name_H-M 'P 1'
_symmetry_Int_Tables_number 1
_symmetry_space_group_name_Hall 'P 1'
_cell_length_a 5.1876
_cell_length_b 5.1876
_cell_length_c 5.1876
_cell_angle_alpha 90.00
_cell_angle_beta 90.00
_cell_angle_gamma 90.00
loop_
_atom_site_label
_atom_site_type_symbol
_atom_site_fract_x
_atom_site_fract_y
_atom_site_fract_z
_atom_site_occupancy
La1 La 0.0000 0.0000 0.0000 1
In1 In 0.0000 0.5000 0.5000 1
In2 In 0.5000 0.0000 0.5000 1
In3 In 0.5000 0.5000 0.0000 1
Pt1 Pt 0.5000 0.5000 0.5000 1
```

---

Question: Which formula does entry 1 have?
Answer: Tl6Zn7